[1]
PBE AcPaIn2, optimized geometry; ΔH_f (0 K) = 11 kJ/mol of formula units; crystal system = trigonal; space-group type = R-3m (166); calculated volume = 29.174 Å³ per atom; size of the total moment = 0.0 μB/f.u.
1.0
3.4334 0.0000 0.0000
1.7167 2.9734 0.0000
1.7167 0.9911 11.4309
In Pa Ac
2 1 1
Cartesian
1.7167 0.9911 2.7225
5.1501 2.9734 8.7084
0.0000 0.0000 0.0000
3.4334 1.9823 5.7154

---

[2]
PBE KZrW2, optimized geometry; ΔH_f (0 K) = 725 kJ/mol of formula units; crystal system = tetragonal; space-group type = I-42d (122); calculated volume = 27.107 Å³ per atom; size of the total moment = 0.0 μB/f.u.; energy above the lowest structure with this stoichiometry = 4.780 eV/f.u.
1.0
-0.2188 3.6002 2.9675
-4.6283 0.2072 -0.5927
-3.6761 -4.4136 8.7594
K W Zr
2 4 2
Cartesian
-5.3640 -1.1513 4.6770
-2.4236 1.9037 1.1874
-3.8599 -1.9144 7.5516
-1.6681 1.7287 4.4288
-3.0848 -0.1539 9.1486
-4.0241 2.5203 4.6995
-3.1592 0.5452 6.4571
0.0000 0.0000 0.0000

---

[3]
PBE Li2Cd2Pd, optimized geometry; ΔH_f (0 K) = -90 kJ/mol of formula units; crystal system = tetragonal; space-group type = P4/mbm (127); calculated volume = 17.529 Å³ per atom; size of the total moment = 0.0 μB/f.u.; energy above the lowest structure with this stoichiometry = 0.882 eV/f.u.
1.0
7.4083 0.0000 0.0000
0.0000 7.4083 0.0000
0.0000 0.0000 3.1939
Li Cd Pd
4 4 2
Cartesian
1.1920 4.8961 1.5969
4.8961 6.2163 1.5969
6.2163 2.5122 1.5969
2.5122 1.1920 1.5969
2.6530 6.3572 0.0000
4.7553 1.0511 0.0000
1.0511 2.6530 0.0000
6.3572 4.7553 0.0000
3.7041 3.7041 0.0000
0.0000 0.0000 0.0000